Material: Ho2Ge2O7
Method: DFT, SCAN
State: PBEsol geometry

Calculated values
Energy   -844.11 eV for the cell shown
Density of states at the Fermi level   0.00 states/eV/f.u.
Uncorrected formation energy   -2.842 eV/atom

a b c (Å): 6.7936 6.7510 11.9228
angles (deg): 94.06 94.86 92.69
Element x y z (fractional)
Ge: 0.5056 0.3221 0.1487
Ge: 0.8255 0.8488 0.1114
Ge: 0.5871 0.2336 0.3747
Ge: 0.1536 0.6077 0.3917
Ge: 0.1745 0.1512 0.8886
Ge: 0.4129 0.7664 0.6253
Ge: 0.8464 0.3923 0.6083
Ge: 0.4944 0.6779 0.8513
O: 0.3724 0.2197 0.8163
O: 0.9660 0.7673 0.4306
O: 0.6945 0.4383 0.4866
O: 0.2400 0.1026 0.0294
O: 0.7600 0.8974 0.9706
O: 0.0743 0.3885 0.3103
O: 0.6276 0.7803 0.1837
O: 0.6150 0.8289 0.5506
O: 0.7630 0.0550 0.3831
O: 0.6962 0.2669 0.0647
O: 0.3686 0.5676 0.7180
O: 0.7039 0.2214 0.6807
O: 0.0340 0.2327 0.5694
O: 0.0012 0.0217 0.1883
O: 0.9959 0.6601 0.0844
O: 0.6314 0.4324 0.2820
O: 0.2961 0.7786 0.3193
O: 0.9257 0.6115 0.6897
O: 0.3038 0.7331 0.9353
O: 0.5773 0.8743 0.7686
O: 0.9988 0.9783 0.8117
O: 0.3248 0.4855 0.1155
O: 0.0041 0.3399 0.9156
O: 0.3055 0.5617 0.5134
O: 0.2370 0.9450 0.6169
O: 0.6752 0.5145 0.8845
O: 0.4227 0.1257 0.2314
O: 0.3850 0.1711 0.4494
Ho: 0.3083 0.8266 0.1282
Ho: 0.0915 0.0732 0.3702
Ho: 0.6917 0.1734 0.8718
Ho: 0.3614 0.2669 0.6254
Ho: 0.0307 0.3317 0.1173
Ho: 0.9085 0.9268 0.6298
Ho: 0.6386 0.7331 0.3746
Ho: 0.9693 0.6683 0.8827


Material: BiTeP2S
Method: DFT, SCAN
State: PBEsol geometry

Calculated values
Energy   -140.01 eV for the cell shown
Density of states at the Fermi level   5.34 states/eV/f.u.
Uncorrected formation energy   1.250 eV/atom

a b c (Å): 4.9458 5.2292 5.2292
angles (deg): 90.00 90.00 90.00
Element x y z (fractional)
Te: 0.5000 0.5000 0.5000
S: 0.5000 0.0000 0.0000
P: 0.0000 0.5000 0.0000
P: 0.0000 0.0000 0.5000
Bi: 0.0000 0.0000 0.0000


Material: ScP2Pt
Method: DFT, SCAN
State: PBEsol geometry

Calculated values
Energy   -107.91 eV for the cell shown
Energy of formation   -670 meV per atom
Density of states at the Fermi level   2.96 states/eV/f.u.

a b c (Å): 3.9671 4.5239 4.5239
angles (deg): 69.36 63.99 63.99
Element x y z (fractional)
P: 0.7040 0.2960 0.2960
P: 0.2960 0.7040 0.7040
Sc: 0.5000 0.0000 0.0000
Pt: 0.0000 0.5000 0.5000


Material: SrFe2Se
Method: DFT, SCAN
State: PBEsol geometry

Calculated values
Energy   -77.88 eV for the cell shown
Density of states at the Fermi level   3.30 states/eV/f.u.
Uncorrected formation energy   0.184 eV/atom

a b c (Å): 4.0108 4.0108 4.8540
angles (deg): 90.00 90.00 90.00
Element x y z (fractional)
Fe: 0.0000 0.5000 0.0000
Fe: 0.5000 0.0000 0.0000
Se: 0.5000 0.5000 0.5000
Sr: 0.0000 0.0000 0.5000


Material: Li6Mn5Ni3O16
Method: DFT, SCAN
State: PBEsol geometry

Calculated values
Energy   -314.77 eV for the cell shown
Density of states at the Fermi level   3.34 states/eV/f.u.
Uncorrected formation energy   -2.031 eV/atom

a b c (Å): 5.6293 5.6703 9.2338
angles (deg): 91.20 90.00 119.76
Element x y z (fractional)
Mn: 0.1738 0.3475 0.7162
Mn: 0.8317 0.1693 0.2146
Mn: 0.3373 0.6747 0.9875
Mn: 0.6705 0.3411 0.4890
Mn: 0.3376 0.1693 0.2146
O: 0.4752 0.9505 0.8514
O: 0.0315 0.5060 0.8505
O: 0.1713 0.8437 0.0923
O: 0.8353 0.6706 0.5867
O: 0.3277 0.6553 0.5974
O: 0.6559 0.3118 0.0989
O: 0.8435 0.1813 0.5948
O: 0.6723 0.8437 0.0923
O: 0.1634 0.3269 0.1002
O: 0.5146 0.0291 0.3388
O: 0.0091 0.0181 0.8190
O: 0.4745 0.5060 0.8505
O: 0.9627 0.4690 0.3468
O: 0.3378 0.1813 0.5948
O: 0.0068 0.0136 0.3232
O: 0.5064 0.4690 0.3468
Ni: 0.6640 0.8311 0.7121
Ni: 0.1671 0.8311 0.7121
Ni: 0.8300 0.6600 0.2120
Li: 0.1678 0.8262 0.4479
Li: 0.6584 0.8262 0.4479
Li: 0.1707 0.3413 0.4512
Li: 0.3411 0.1661 0.9441
Li: 0.8250 0.1661 0.9441
Li: 0.8376 0.6753 0.9423


Material: Y2MgBeTe
Method: DFT, SCAN
State: PBEsol geometry

Calculated values
Energy   -97.97 eV for the cell shown
Density of states at the Fermi level   3.66 states/eV/f.u.
Uncorrected formation energy   0.859 eV/atom

a b c (Å): 5.1078 5.4796 5.4796
angles (deg): 90.00 90.00 90.00
Element x y z (fractional)
Y: 0.0000 0.0000 0.5000
Y: 0.0000 0.5000 0.0000
Mg: 0.0000 0.0000 0.0000
Te: 0.5000 0.0000 0.0000
Be: 0.5000 0.5000 0.5000


> Which value of density of states at the Fermi level does entry 3 give?

2.96 states/eV/f.u.


> Among the records above, which one has the lowest density of states at the Fermi level?

Ho2Ge2O7


> What is the density of states at the Fermi level in the fifth record?

3.34 states/eV/f.u.